# 1
First-principles (PBEsol) data for a relaxed CoRuAu2 crystal, as listed in Alexandria via LeMat-Bulk.

## Properties
V = 175 Å³ per cell
formation energy from the elements = 0.25 eV/atom
crystal system = trigonal
raw total energy = -6.19 eV/atom
DOS(E_F) = 1.04 states/eV/atom

Cell: 2.7340 2.7340 26.9704 Å, 90.00 90.00 120.00°
Space group R3m (No. 160, hexagonal axes)
Inequivalent atoms, fractional coordinates:
1 Co 0.0000 0.0000 0.0000
2 Ru 0.0000 0.0000 0.2639
3 Au 0.0000 0.0000 0.5089
4 Au 0.0000 0.0000 0.7483

=====

# 2
First-principles (PBEsol) data for a relaxed Li2SeO4 crystal, as listed in Alexandria via LeMat-Bulk.

## Properties
formation energy from raw total energies = -1.37 eV per atom
V = 1677 Å³ per cell
crystal system = trigonal
raw total energy = -5.48 eV/atom
DOS(E_F) = 0.00 states/eV/atom

Cell: 12.7824 12.7824 11.8539 Å, 90.00 90.00 120.00°
Space group R-3 (No. 148, hexagonal axes)
Inequivalent atoms, fractional coordinates:
1 Li 0.0079 0.7967 0.1178
2 Li 0.0586 0.8286 0.4150
3 Se 0.0738 0.5870 0.3444
4 O 0.0060 0.1911 0.4329
5 O 0.0061 0.2817 0.2268
6 O 0.0377 0.1827 0.7252
7 O 0.0661 0.5212 0.6850

=====

# 3
First-principles (PBEsol) data for a relaxed CaFeCu crystal, as listed in Alexandria via LeMat-Bulk.

## Properties
V = 104 Å³ per cell
formation energy from the elements = 0.41 eV/atom
crystal system = tetragonal
raw total energy = -4.74 eV/atom
DOS(E_F) = 1.30 states/eV/atom

Cell: 3.1656 3.1656 10.4237 Å, 90.00 90.00 90.00°
Space group I4mm (No. 107)
Inequivalent atoms, fractional coordinates:
1 Ca 0.0000 0.0000 0.0000
2 Fe 0.0000 0.0000 0.7056
3 Cu 0.0000 0.0000 0.2970

=====

# 4
First-principles (PBEsol) data for a relaxed CaCO3 crystal, as listed in Alexandria via LeMat-Bulk.

## Properties
formation energy from raw total energies = -2.04 eV per atom
V = 200 Å³ per cell
crystal system = orthorhombic
raw total energy = -7.54 eV/atom
DOS(E_F) = 0.00 states/eV/atom

Cell: 6.1828 8.7124 3.7205 Å, 90.00 90.00 90.00°
Space group C222_1 (No. 20)
Inequivalent atoms, fractional coordinates:
1 Ca 0.0000 0.1943 0.2500
2 C 0.1413 0.5000 0.0000
3 O 0.0000 0.4151 0.7500
4 O 0.2419 0.1092 0.6673

=====

# 5
First-principles (PBEsol) data for a relaxed KV2AgO6 crystal, as listed in Alexandria via LeMat-Bulk.

## Properties
formation energy from raw total energies = -2.00 eV per atom
V = 590 Å³ per cell
crystal system = monoclinic
raw total energy = -7.52 eV/atom
DOS(E_F) = 0.00 states/eV/atom

Cell: 10.5651 9.9076 5.8187 Å, 90.00 104.20 90.00°
Space group C2/c (No. 15)
Inequivalent atoms, fractional coordinates:
1 K 0.0000 0.2012 0.2500
2 V 0.2098 0.0861 0.7758
3 Ag 0.0000 0.4051 0.7500
4 O 0.1276 0.4168 0.1539
5 O 0.1503 0.0123 0.0117
6 O 0.1538 0.2414 0.7173

=====

# 6
First-principles (PBEsol) data for a relaxed Ta3W crystal, as listed in Alexandria via LeMat-Bulk.

## Properties
V = 204 Å³ per cell
formation energy from the elements = -0.03 eV/atom
crystal system = trigonal
raw total energy = -12.89 eV/atom
DOS(E_F) = 1.09 states/eV/atom

Cell: 9.1695 9.1695 2.8028 Å, 90.00 90.00 120.00°
Space group R-3m (No. 166, hexagonal axes)
Inequivalent atoms, fractional coordinates:
1 Ta 0.0000 0.5000 0.0000
2 W 0.0000 0.0000 0.0000

=====

Q: What is the DOS(E_F) in the third record?
A: 1.30 states/eV/atom